Record 1
HfCr2Br | PBE-GGA | relaxed

It has space group Fm-3m (No. 225), with a = 6.3831 Å, b = 6.3831 Å, c = 6.3831 Å, α = 90.00°, β = 90.00° and γ = 90.00°. The asymmetric unit holds Hf at (0.0000, 0.0000, 0.0000), Cr at (0.2500, 0.2500, 0.2500) and Br at (0.0000, 0.0000, 0.5000).

Its crystal system is cubic. The density comes out at 9255 kg/m³. The calculation puts the relative energy among the computed polymorphs at 0.164 eV per atom. For the formation energy (no corrections), the calculation gives 3.7 eV/f.u. Its total energy is -108.53 eV per cell. For the density of states at the Fermi level, the calculation gives 0.97 states/eV per atom.

Record 2
HfCrBr3 | PBE-GGA | relaxed

It has space group Pm-3m (No. 221), with a = 5.1507 Å, b = 5.1507 Å, c = 5.1507 Å, α = 90.00°, β = 90.00° and γ = 90.00°. The asymmetric unit holds Hf at (0.0000, 0.0000, 0.0000), Cr at (0.5000, 0.5000, 0.5000) and Br at (0.0000, 0.5000, 0.5000).

Its crystal system is cubic. The density comes out at 5714 kg/m³. The calculation puts the relative energy among the computed polymorphs at 0.405 eV per atom. For the formation energy (no corrections), the calculation gives 1.6 eV/f.u. Its total energy is -23.02 eV per cell. For the density of states at the Fermi level, the calculation gives 1.31 states/eV per atom.